Run A
DFT (PBE) results for RbAu2F2 after structural relaxation.

Cell lengths 4.6595, 4.6595, 9.6667 Å; angles 90.00, 90.00, 90.00 degrees
With the nearest neighbours (Å) after each atom.
Space group I4/mmm (No. 139)
Symmetry-distinct sites (fractional):
Rb 0.0000 0.0000 0.0000 [2 per cell]  8 F 3.36, 10 Au 3.50-3.56
Au 0.0000 0.0000 0.3618 [4 per cell]  4 F 2.57, 1 Au 2.67
F 0.0000 0.5000 0.2500 [4 per cell]  4 Au 2.57



Run B
DFT (PBE) results for RbAu2F2 after structural relaxation.

Cell lengths 8.3465, 8.3465, 2.9961 Å; angles 90.00, 90.00, 90.00 degrees
With the nearest neighbours (Å) after each atom.
Space group P4/mbm (No. 127)
Symmetry-distinct sites (fractional):
Rb 0.0000 0.0000 0.0000 [2 per cell]  2 Rb 3.00, 8 F 3.31
Au 0.1083 0.3917 0.0000 [4 per cell]  2 F 2.39, 1 Au 2.56
F 0.2339 0.7339 0.5000 [4 per cell]  2 Au 2.39



Quick one: least stable of them? run A



Run A
DFT (PBE) results for RbAu2F after structural relaxation.

Cell lengths 7.3341, 7.3341, 7.3341 Å; angles 90.00, 90.00, 90.00 degrees
With the nearest neighbours (Å) after each atom.
Space group Fm-3m (No. 225)
Symmetry-distinct sites (fractional):
Rb 0.0000 0.0000 0.0000 [4 per cell]  8 Au 3.18
Au 0.2500 0.2500 0.2500 [8 per cell]  4 F 3.18, 4 Rb 3.18
F 0.0000 0.0000 0.5000 [4 per cell]  8 Au 3.18



Run B
DFT (PBE) results for RbAu2F after structural relaxation.

Cell lengths 3.8123, 3.8123, 30.2371 Å; angles 90.00, 90.00, 90.00 degrees
With the nearest neighbours (Å) after each atom.
Space group I-42d (No. 122)
Symmetry-distinct sites (fractional):
Rb 0.0000 0.0000 0.0000 [4 per cell]  4 F 2.70
Au 0.2500 0.2498 0.3750 [8 per cell]  4 Au 2.69-2.70
F 0.0000 0.0000 0.5000 [4 per cell]  4 Rb 2.70



Quick one: least stable of them? run A



Run A
DFT (PBE) results for Rb4AuF2 after structural relaxation.

Cell lengths 6.3529, 6.3529, 15.7031 Å; angles 90.00, 90.00, 90.00 degrees
With the nearest neighbours (Å) after each atom.
Space group I4/mmm (No. 139)
Symmetry-distinct sites (fractional):
Rb 0.0000 0.0000 0.2381 [4 per cell]  1 F 2.47
Rb 0.0000 0.5000 0.0000 [4 per cell]  2 Au 3.18
Au 0.0000 0.0000 0.0000 [2 per cell]  4 Rb 3.18
F 0.0000 0.0000 0.3957 [4 per cell]  1 Rb 2.47



Run B
DFT (PBE) results for Rb4AuF2 after structural relaxation.

Cell lengths 4.3153, 14.3128, 15.1269 Å; angles 90.00, 90.00, 90.00 degrees
With the nearest neighbours (Å) after each atom.
Space group Cmcm (No. 63)
Symmetry-distinct sites (fractional):
Rb 0.0000 0.0000 0.0000 [4 per cell]  4 F 3.01
Rb 0.0000 0.2641 0.1031 [8 per cell]  3 F 2.80-2.94
Rb 0.0000 0.4288 0.7500 [4 per cell]  2 F 3.08
Au 0.0000 0.1183 0.7500 [4 per cell]  6 Rb 3.47-3.53
F 0.0000 0.3659 0.5552 [8 per cell]  6 Rb 2.80-3.08



Quick one: least stable of them? run A



Run A
DFT (PBE) results for Re2Au2F after structural relaxation.

Cell lengths 8.2007, 8.2007, 2.6854 Å; angles 90.00, 90.00, 90.00 degrees
With the nearest neighbours (Å) after each atom.
Space group P4/mbm (No. 127)
Symmetry-distinct sites (fractional):
Re 0.1028 0.3972 0.0000 [4 per cell]  1 Re 2.38
Au 0.1913 0.6913 0.5000 [4 per cell]  2 Au 2.69, 6 Re 2.74-2.85, 2 F 2.98
F 0.0000 0.0000 0.5000 [2 per cell]  2 F 2.69, 4 Au 2.98



Run B
DFT (PBE) results for Re2Au2F after structural relaxation.

Cell lengths 3.5544, 3.5544, 14.2661 Å; angles 90.00, 90.00, 90.00 degrees
With the nearest neighbours (Å) after each atom.
Space group I4/mmm (No. 139)
Symmetry-distinct sites (fractional):
Re 0.0000 0.5000 0.2500 [4 per cell]  4 Re 2.51, 4 Au 2.80
Au 0.0000 0.0000 0.0981 [4 per cell]  1 Au 2.80, 4 Re 2.80, 4 F 2.88
F 0.0000 0.0000 0.5000 [2 per cell]  8 Au 2.88



Quick one: least stable of them? run A



Run A
DFT (PBE) results for ReAu3F after structural relaxation.

Cell lengths 5.0181, 5.0181, 5.0181 Å; angles 90.00, 90.00, 90.00 degrees
With the nearest neighbours (Å) after each atom.
Space group Pm-3m (No. 221)
Symmetry-distinct sites (fractional):
Re 0.0000 0.0000 0.0000 [1 per cell]  6 Au 2.51
Au 0.0000 0.0000 0.5000 [3 per cell]  2 Re 2.51
F 0.5000 0.5000 0.5000 [1 per cell]  12 Au 3.55



Run B
DFT (PBE) results for ReAu3F after structural relaxation.

Cell lengths 4.5454, 4.5454, 4.5454 Å; angles 90.00, 90.00, 90.00 degrees
With the nearest neighbours (Å) after each atom.
Space group Pm-3m (No. 221)
Symmetry-distinct sites (fractional):
Re 0.0000 0.0000 0.0000 [1 per cell]  12 Au 3.21
Au 0.0000 0.5000 0.5000 [3 per cell]  2 F 2.27
F 0.5000 0.5000 0.5000 [1 per cell]  6 Au 2.27



Quick one: least stable of them? run A



Run A
DFT (PBE) results for Re3AuF after structural relaxation.

Cell lengths 5.1769, 5.1769, 5.1769 Å; angles 90.00, 90.00, 90.00 degrees
With the nearest neighbours (Å) after each atom.
Space group Pm-3m (No. 221)
Symmetry-distinct sites (fractional):
Re 0.0000 0.0000 0.5000 [3 per cell]  2 Au 2.59
Au 0.0000 0.0000 0.0000 [1 per cell]  6 Re 2.59
F 0.5000 0.5000 0.5000 [1 per cell]  12 Re 3.66



Run B
DFT (PBE) results for Re3AuF after structural relaxation.

Cell lengths 4.2232, 4.2232, 4.2232 Å; angles 90.00, 90.00, 90.00 degrees
With the nearest neighbours (Å) after each atom.
Space group Pm-3m (No. 221)
Symmetry-distinct sites (fractional):
Re 0.0000 0.0000 0.5000 [3 per cell]  2 F 2.11
Au 0.5000 0.5000 0.5000 [1 per cell]  12 Re 2.99
F 0.0000 0.0000 0.0000 [1 per cell]  6 Re 2.11



Quick one: least stable of them? run A